(1)
Density functional theory data (GGA-PBE) for Tm5CoSn after structural relaxation.

POSCAR file:
```
Tm5CoSn
1.0
5.4351 -3.3166 0.0000
5.4351 3.3166 0.0000
-3.6279 0.0000 10.3905
Tm Co Sn
10 2 2
Cartesian
0.0039 1.2429 6.6377
2.7141 3.1388 7.7928
0.6597 1.1714 9.9587
1.8179 -1.2429 1.4425
4.7686 1.1714 5.6270
2.4737 -1.1714 4.7635
5.4244 1.2429 8.9480
6.5825 -1.1714 0.4317
4.5281 -3.1388 2.5976
7.2383 -1.2429 3.7528
0.0000 0.0000 0.0000
-1.8139 0.0000 5.1952
4.5281 0.1933 2.5976
2.7141 -0.1933 7.7928
```

Properties
For the formation energy, the calculation gives -0.18 eV/atom. The final energy comes out at -0.182 Ha/atom.



(2)
Density functional theory data (GGA-PBE) for TmCo4Sn4 after structural relaxation.

POSCAR file:
```
TmCo4Sn4
1.0
8.2769 0.0000 0.0000
0.0000 8.2769 0.0000
0.0000 0.0000 5.1580
Tm Co Sn
2 8 8
Cartesian
2.0692 2.0692 1.2895
6.2077 6.2077 3.8685
0.4416 4.9627 3.3183
0.8242 7.8353 0.7392
3.3142 4.5800 0.7392
3.6969 7.4527 3.3183
4.5800 0.8242 1.8398
4.9627 3.6969 4.4188
7.4527 0.4416 4.4188
7.8353 3.3142 1.8398
0.7730 5.2602 0.7435
1.1218 7.5039 3.3225
3.0167 4.9115 3.3225
3.3654 7.1551 0.7435
4.9115 1.1218 4.4145
5.2602 3.3654 1.8355
7.1551 0.7730 1.8355
7.5039 3.0167 4.4145
```

Properties
For the formation energy, the calculation gives 0.07 eV/atom. The final energy comes out at -0.197 Ha/atom.



(3)
Density functional theory data (GGA-PBE) for TmCo2Sn after structural relaxation.

POSCAR file:
```
TmCo2Sn
1.0
4.4264 0.0000 0.0000
0.0000 4.4264 0.0000
0.0000 0.0000 3.3231
Tm Co Sn
1 2 1
Cartesian
0.0000 0.0000 0.0000
0.0000 2.2132 1.6615
2.2132 0.0000 1.6615
2.2132 2.2132 0.0000
```

Properties
For the formation energy, the calculation gives -0.21 eV/atom. The final energy comes out at -0.216 Ha/atom.



(4)
Density functional theory data (GGA-PBE) for Tm2Co3Sn5 after structural relaxation.

POSCAR file:
```
Tm2Co3Sn5
1.0
2.1498 -12.9444 0.0000
2.1498 12.9444 0.0000
0.0000 0.0000 7.0340
Tm Co Sn
4 6 10
Cartesian
2.1498 12.2785 3.5170
2.1498 4.4078 3.3850
2.1498 -4.4078 6.9020
2.1498 -12.2785 0.0000
2.1498 10.1964 5.3187
2.1498 5.7571 6.8539
2.1498 1.2748 5.0767
2.1498 -1.2748 1.5597
2.1498 -5.7571 3.3369
2.1498 -10.1964 1.8017
2.1498 10.5155 0.8842
2.1498 7.6531 4.8555
2.1498 7.4650 1.8458
2.1498 3.1287 7.0107
2.1498 1.2201 2.3567
2.1498 -1.2201 5.8737
2.1498 -3.1287 3.4937
2.1498 -7.4650 5.3627
2.1498 -7.6531 1.3386
2.1498 -10.5155 4.4012
```

Properties
For the formation energy, the calculation gives -0.37 eV/atom. The final energy comes out at -0.198 Ha/atom.